(1)
Crystalline Sr3NiIr at its relaxed geometry. Source: Alexandria via LeMat-Bulk, functional PBE.

Properties
**Crystal system**: cubic
**Energy**: -18.0 eV/f.u.

abc: 5.706 5.706 5.706
angles: 90.00 90.00 90.00
Space group Pm-3m (No. 221)
Symmetry-distinct sites (fractional):
1 Sr 0.000 0.000 0.500 [3 per cell]
2 Ni 0.500 0.500 0.500 [1 per cell]
3 Ir 0.000 0.000 0.000 [1 per cell]

***

(2)
Crystalline FeHgW at its relaxed geometry. Source: Alexandria via LeMat-Bulk, functional PBE.

Properties
**Crystal system**: tetragonal
**Energy**: -20.9 eV/f.u.

abc: 3.092 3.092 10.299
angles: 90.00 90.00 90.00
Space group P4/nmm (No. 129, origin choice 2)
Symmetry-distinct sites (fractional):
1 Fe 0.250 0.250 0.204 [2 per cell]
2 Hg 0.250 0.250 0.616 [2 per cell]
3 W 0.250 0.250 0.917 [2 per cell]

***

(3)
Crystalline BOsSe3 at its relaxed geometry. Source: Alexandria via LeMat-Bulk, functional PBE.

Properties
**Crystal system**: cubic
**Uncorrected formation energy**: 1455 meV/atom

abc: 4.897 4.897 4.897
angles: 90.00 90.00 90.00
Space group Pm-3m (No. 221)
Symmetry-distinct sites (fractional):
1 B 0.000 0.000 0.000 [1 per cell]
2 Os 0.500 0.500 0.500 [1 per cell]
3 Se 0.000 0.500 0.500 [3 per cell]

***

(4)
Crystalline Rb2Ac2PaSe6 at its relaxed geometry. Source: Alexandria via LeMat-Bulk, functional PBE.

Properties
**Crystal system**: monoclinic
**Uncorrected formation energy**: -1680 meV/atom

abc: 7.815 13.344 8.565
angles: 90.00 107.68 90.00
Space group C2/m (No. 12)
Symmetry-distinct sites (fractional):
1 Rb 0.000 0.170 0.000 [4 per cell]
2 Ac 0.000 0.334 0.500 [4 per cell]
3 Pa 0.000 0.000 0.500 [2 per cell]
4 Se 0.221 0.157 0.697 [8 per cell]
5 Se 0.240 0.000 0.303 [4 per cell]

***

(5)
Crystalline ScBe2SbC at its relaxed geometry. Source: Alexandria via LeMat-Bulk, functional PBE.

Properties
**Crystal system**: tetragonal
**Uncorrected formation energy**: 457 meV/atom

abc: 3.765 3.765 5.652
angles: 90.00 90.00 90.00
Space group P4/mmm (No. 123)
Symmetry-distinct sites (fractional):
1 Sc 0.000 0.000 0.000 [1 per cell]
2 Be 0.000 0.500 0.500 [2 per cell]
3 Sb 0.500 0.500 0.000 [1 per cell]
4 C 0.500 0.500 0.500 [1 per cell]

***

(6)
Crystalline Na2TeHSO5F3 at its relaxed geometry. Source: Alexandria via LeMat-Bulk, functional PBE.

Properties
**Crystal system**: monoclinic
**Energy**: -66.9 eV/f.u.

abc: 8.147 7.804 10.909
angles: 90.00 90.47 90.00
Space group P2_1/c (No. 14)
Symmetry-distinct sites (fractional):
1 Na 0.077 0.014 0.260 [4 per cell]
2 Na 0.267 0.199 0.976 [4 per cell]
3 Te 0.399 0.554 0.212 [4 per cell]
4 H 0.439 0.633 0.926 [4 per cell]
5 S 0.138 0.737 0.506 [4 per cell]
6 O 0.006 0.190 0.431 [4 per cell]
7 O 0.116 0.732 0.371 [4 per cell]
8 O 0.179 0.567 0.558 [4 per cell]
9 O 0.286 0.640 0.028 [4 per cell]
10 O 0.451 0.147 0.615 [4 per cell]
11 F 0.195 0.083 0.738 [4 per cell]
12 F 0.355 0.101 0.322 [4 per cell]
13 F 0.475 0.064 0.863 [4 per cell]

***

(7)
Crystalline PrHfIn2 at its relaxed geometry. Source: Alexandria via LeMat-Bulk, functional PBE.

Properties
**Crystal system**: tetragonal
**Energy**: -21.0 eV/f.u.

abc: 4.733 4.733 4.534
angles: 90.00 90.00 90.00
Space group P4/mmm (No. 123)
Symmetry-distinct sites (fractional):
1 Pr 0.000 0.000 0.000 [1 per cell]
2 Hf 0.500 0.500 0.000 [1 per cell]
3 In 0.000 0.500 0.500 [2 per cell]

***

(8)
Crystalline Th6Hg5Pb at its relaxed geometry. Source: Alexandria via LeMat-Bulk, functional PBE.

Properties
**Crystal system**: orthorhombic
**Energy**: -52.1 eV/f.u.

abc: 5.676 17.061 7.057
angles: 90.00 90.00 90.00
Space group Cmmm (No. 65)
Symmetry-distinct sites (fractional):
1 Th 0.000 0.000 0.249 [4 per cell]
2 Th 0.000 0.332 0.252 [8 per cell]
3 Hg 0.000 0.164 0.500 [4 per cell]
4 Hg 0.000 0.170 0.000 [4 per cell]
5 Hg 0.000 0.500 0.500 [2 per cell]
6 Pb 0.000 0.500 0.000 [2 per cell]